The following is a PBEsol calculation of a geometry-optimized ScAg2Sb structure, from the Alexandria database.

The space group is Cm (No. 8) and the conventional cell measures 9.1195, 3.3418 and 5.3997 Å, with angles of 90.00, 100.87 and 90.00 degrees. Symmetry generates all atoms from Sc at (0.0000, 0.0000, 0.0000), Ag at (0.0108, 0.5000, 0.5437), Ag at (0.2556, 0.0000, 0.7541) and Sb at (0.2540, 0.5000, 0.2684).

The following is a PBEsol calculation of a geometry-optimized ScAgSb structure, from the Alexandria database.

The space group is Imm2 (No. 44) and the conventional cell measures 3.3325, 3.9945 and 9.4253 Å, with angles of 90.00, 90.00 and 90.00 degrees. Symmetry generates all atoms from Sc at (0.0000, 0.0000, 0.0000), Ag at (0.0000, 0.0000, 0.6629) and Sb at (0.0000, 0.0000, 0.3337).

The following is a PBEsol calculation of a geometry-optimized ScAg2Sb structure, from the Alexandria database.

The space group is R-3m (No. 166, hexagonal axes) and the conventional cell measures 3.2525, 3.2525 and 27.3482 Å, with angles of 90.00, 90.00 and 120.00 degrees. Symmetry generates all atoms from Sc at (0.0000, 0.0000, 0.0000), Ag at (0.0000, 0.0000, 0.2539) and Sb at (0.0000, 0.0000, 0.5000).

no.,magnetization (μB/cell),E_form (uncorrected) (kJ/mol of atoms),total energy (hartree per atom)
1,0.00,-15.7,-0.16939
2,0.00,-31.5,-0.18928
3,0.00,2.2,-0.16256